# 1
The following is a GGA-PBE calculation of a relaxed CdNiHRh2 crystal, from the Alexandria database.

Computed properties:
- excess energy over the best structure of this formula in the dataset (meV per atom) = 141
- crystal system = tetragonal

Cell lengths 3.870, 3.870, 4.183 Å; angles 90.00, 90.00, 90.00 degrees
Positions (direct):
Cd: 0.000 0.000 0.000
Ni: 0.500 0.500 0.000
H: 0.000 0.000 0.500
Rh: 0.000 0.500 0.500
Rh: 0.500 0.000 0.500

---

# 2
The following is a GGA-PBE calculation of a relaxed Th6TeIr2Ru3 crystal, from the Alexandria database.

Computed properties:
- formation energy (no corrections) (eV/atom) = -0.672
- crystal system = monoclinic

Cell lengths 9.347, 9.347, 8.523 Å; angles 104.18, 104.18, 25.47 degrees
Positions (direct):
Th: 0.001 0.001 0.282
Th: 0.318 0.318 0.910
Th: 0.331 0.331 0.416
Th: 0.669 0.669 0.584
Th: 0.682 0.682 0.090
Th: 0.999 0.999 0.718
Te: 0.500 0.500 0.000
Ir: 0.167 0.167 0.333
Ir: 0.833 0.833 0.667
Ru: 0.163 0.163 0.829
Ru: 0.500 0.500 0.500
Ru: 0.837 0.837 0.171

---

# 3
The following is a GGA-PBE calculation of a relaxed In2I3Cl crystal, from the Alexandria database.

Computed properties:
- formation energy (no corrections) (eV/atom) = -0.621
- crystal system = monoclinic

Cell lengths 7.596, 10.717, 14.286 Å; angles 90.00, 103.11, 90.00 degrees
Positions (direct):
In: 0.059 0.219 0.101
In: 0.059 0.281 0.601
In: 0.423 0.117 0.854
In: 0.423 0.383 0.354
In: 0.577 0.617 0.646
In: 0.577 0.883 0.146
In: 0.941 0.719 0.399
In: 0.941 0.781 0.899
I: 0.188 0.040 0.632
I: 0.188 0.460 0.132
I: 0.279 0.082 0.244
I: 0.279 0.418 0.744
I: 0.302 0.703 0.395
I: 0.302 0.797 0.895
I: 0.698 0.203 0.105
I: 0.698 0.297 0.605
I: 0.721 0.582 0.256
I: 0.721 0.918 0.756
I: 0.812 0.540 0.868
I: 0.812 0.960 0.368
Cl: 0.087 0.154 0.942
Cl: 0.087 0.346 0.442
Cl: 0.913 0.654 0.558
Cl: 0.913 0.846 0.058

---

# 4
The following is a GGA-PBE calculation of a relaxed NaGdIn4 crystal, from the Alexandria database.

Computed properties:
- formation energy from the elements (eV/atom) = -0.19
- crystal system = cubic

Cell lengths 6.109, 6.109, 6.109 Å; angles 60.00, 60.00, 60.00 degrees
Positions (direct):
Na: 0.000 0.000 0.000
Gd: 0.750 0.750 0.750
In: 0.375 0.375 0.375
In: 0.375 0.375 0.875
In: 0.375 0.875 0.375
In: 0.875 0.375 0.375

---

# 5
The following is a GGA-PBE calculation of a relaxed SrTcRh2 crystal, from the Alexandria database.

Computed properties:
- excess energy over the best structure of this formula in the dataset (meV per atom) = 264
- formation energy from the elements (eV/atom) = 0.40
- crystal system = tetragonal

Cell lengths 4.935, 4.935, 2.901 Å; angles 90.00, 90.00, 90.00 degrees
Positions (direct):
Sr: 0.000 0.000 0.000
Tc: 0.500 0.500 0.000
Rh: 0.000 0.500 0.500
Rh: 0.500 0.000 0.500

---

# 6
The following is a GGA-PBE calculation of a relaxed YReCl2 crystal, from the Alexandria database.

Computed properties:
- excess energy over the best structure of this formula in the dataset (meV per atom) = 428
- formation energy (no corrections) (eV/atom) = -0.051
- crystal system = orthorhombic

Cell lengths 7.484, 7.484, 7.484 Å; angles 153.76, 138.92, 49.40 degrees
Positions (direct):
Y: 0.000 0.000 0.000
Re: 0.500 0.500 0.000
Cl: 0.152 0.652 0.500
Cl: 0.848 0.348 0.500

---

# 7
The following is a GGA-PBE calculation of a relaxed CrFeP4 crystal, from the Alexandria database.

Computed properties:
- formation energy from the elements (eV/atom) = 0.76
- crystal system = cubic

Cell lengths 4.959, 4.959, 4.959 Å; angles 60.00, 60.00, 60.00 degrees
Positions (direct):
Cr: 0.000 0.000 0.000
Fe: 0.750 0.750 0.750
P: 0.377 0.377 0.377
P: 0.377 0.377 0.869
P: 0.377 0.869 0.377
P: 0.869 0.377 0.377

---

# 8
The following is a GGA-PBE calculation of a relaxed Y2ReP2 crystal, from the Alexandria database.

Computed properties:
- excess energy over the best structure of this formula in the dataset (meV per atom) = 0
- formation energy from the elements (eV/atom) = -0.88
- crystal system = tetragonal

Cell lengths 6.454, 6.454, 4.350 Å; angles 90.00, 90.00, 90.00 degrees
Positions (direct):
Y: 0.178 0.322 0.000
Y: 0.322 0.822 0.000
Y: 0.678 0.178 0.000
Y: 0.822 0.678 0.000
Re: 0.000 0.000 0.500
Re: 0.500 0.500 0.500
P: 0.135 0.635 0.500
P: 0.365 0.135 0.500
P: 0.635 0.865 0.500
P: 0.865 0.365 0.500

---

# 9
The following is a GGA-PBE calculation of a relaxed Li2PtSe crystal, from the Alexandria database.

Computed properties:
- formation energy (no corrections) (eV/atom) = -0.583
- crystal system = monoclinic

Cell lengths 5.290, 5.290, 4.494 Å; angles 104.95, 104.95, 32.20 degrees
Positions (direct):
Li: 0.000 0.000 0.000
Li: 0.193 0.193 0.614
Pt: 0.746 0.746 0.141
Se: 0.439 0.439 0.463

---

# 10
The following is a GGA-PBE calculation of a relaxed DyPuTc4 crystal, from the Alexandria database.

Computed properties:
- formation energy from the elements (eV/atom) = -0.04
- crystal system = cubic

Cell lengths 5.391, 5.391, 5.391 Å; angles 60.00, 60.00, 60.00 degrees
Positions (direct):
Dy: 0.000 0.000 0.000
Pu: 0.250 0.250 0.250
Tc: 0.125 0.625 0.625
Tc: 0.625 0.125 0.625
Tc: 0.625 0.625 0.125
Tc: 0.625 0.625 0.625

---

# 11
The following is a GGA-PBE calculation of a relaxed Ba3Tb3HoTe8 crystal, from the Alexandria database.

Computed properties:
- formation energy (no corrections) (eV/atom) = -1.538
- crystal system = monoclinic

Cell lengths 9.008, 9.008, 9.540 Å; angles 118.14, 118.14, 60.02 degrees
Positions (direct):
Ba: 0.000 0.000 0.000
Ba: 0.000 0.500 0.000
Ba: 0.500 0.000 0.000
Tb: 0.000 0.500 0.500
Tb: 0.500 0.000 0.500
Tb: 0.500 0.500 0.500
Ho: 0.000 0.000 0.500
Te: 0.239 0.239 0.716
Te: 0.240 0.736 0.716
Te: 0.261 0.261 0.283
Te: 0.264 0.760 0.284
Te: 0.736 0.240 0.716
Te: 0.739 0.739 0.717
Te: 0.760 0.264 0.284
Te: 0.761 0.761 0.284

---

# 12
The following is a GGA-PBE calculation of a relaxed Tb5Ga crystal, from the Alexandria database.

Computed properties:
- formation energy from the elements (eV/atom) = -0.13
- crystal system = orthorhombic

Cell lengths 7.837, 7.837, 4.813 Å; angles 90.00, 90.00, 144.59 degrees
Positions (direct):
Tb: 0.000 0.000 0.000
Tb: 0.159 0.841 0.500
Tb: 0.335 0.665 0.000
Tb: 0.665 0.335 0.000
Tb: 0.841 0.159 0.500
Ga: 0.500 0.500 0.500

---

no.,ρ (g/cm³)
1,10.0
2,11.8
3,3.8
4,6.6
5,9.2
6,4.7
7,4.5
8,7.8
9,7.4
10,12.0
11,6.1
12,8.4